First-principles (PBE) data for a relaxed NaAl2OsO8 crystal, as listed in Alexandria via LeMat-Bulk.

a b c (Å): 4.745 4.293 6.160
angles (deg): 90.00 90.00 89.66
Sites, in units of the cell vectors:
1 Al 0.500 0.500 0.245
2 Al 0.500 0.500 0.755
3 O 0.834 0.249 0.208
4 O 0.166 0.751 0.792
5 O 0.566 0.734 0.500
6 O 0.434 0.266 0.500
7 O 0.834 0.249 0.792
8 O 0.334 0.269 0.000
9 O 0.166 0.751 0.208
10 O 0.666 0.731 0.000
11 Os 0.000 0.000 0.000
12 Na 0.000 0.000 0.500

Computed properties:
Formation energy (no corrections): -1.629 eV per atom
VASP energy: -6.60 eV per atom
DOS at the Fermi energy: 1.1 states/eV per cell
Space group: P2/m, No. 10
Total magnetic moment: 0.000 Bohr magnetons per cell

=====

First-principles (PBE) data for a relaxed NaAlP2O6 crystal, as listed in Alexandria via LeMat-Bulk.

a b c (Å): 4.968 4.968 6.384
angles (deg): 67.10 67.10 60.00
Sites, in units of the cell vectors:
1 O 0.907 0.504 0.305
2 O 0.093 0.496 0.695
3 O 0.283 0.907 0.305
4 O 0.717 0.093 0.695
5 O 0.496 0.717 0.695
6 O 0.504 0.283 0.305
7 P 0.254 0.254 0.237
8 P 0.746 0.746 0.763
9 Na 0.000 0.000 0.000
10 Al 0.500 0.500 0.500

Computed properties:
Formation energy (no corrections): -2.032 eV per atom
VASP energy: -6.60 eV per atom
DOS at the Fermi energy: 0.6 states/eV per cell
Space group: R-3, No. 148
Total magnetic moment: 1.986 Bohr magnetons per cell

=====

First-principles (PBE) data for a relaxed Na3AlP2O8 crystal, as listed in Alexandria via LeMat-Bulk.

a b c (Å): 5.188 5.188 6.735
angles (deg): 90.00 90.00 120.00
Sites, in units of the cell vectors:
1 O 0.667 0.333 0.976
2 O 0.171 0.342 0.332
3 O 0.658 0.829 0.332
4 O 0.829 0.171 0.668
5 O 0.829 0.658 0.668
6 O 0.333 0.667 0.024
7 O 0.342 0.171 0.668
8 O 0.171 0.829 0.332
9 Na 0.667 0.333 0.303
10 Na 0.000 0.000 0.000
11 Na 0.333 0.667 0.697
12 P 0.333 0.667 0.247
13 P 0.667 0.333 0.753
14 Al 0.000 0.000 0.500

Computed properties:
Formation energy (no corrections): -2.353 eV per atom
VASP energy: -6.51 eV per atom
DOS at the Fermi energy: 0.0 states/eV per cell
Space group: P-3m1, No. 164
Total magnetic moment: 0.000 Bohr magnetons per cell

=====

First-principles (PBE) data for a relaxed NaAlP2O crystal, as listed in Alexandria via LeMat-Bulk.

a b c (Å): 5.162 5.162 3.376
angles (deg): 90.00 90.00 90.00
Sites, in units of the cell vectors:
1 P 0.000 0.500 0.000
2 P 0.500 0.000 0.000
3 O 0.000 0.000 0.500
4 Al 0.000 0.000 0.000
5 Na 0.500 0.500 0.500

Computed properties:
Formation energy (no corrections): -0.333 eV per atom
VASP energy: -4.50 eV per atom
DOS at the Fermi energy: 2.7 states/eV per cell
Space group: P4/mmm, No. 123
Excess energy over the best structure of this formula in the dataset: 0.0000 eV/atom
Total magnetic moment: 0.000 Bohr magnetons per cell

=====

First-principles (PBE) data for a relaxed NaAlPO2 crystal, as listed in Alexandria via LeMat-Bulk.

a b c (Å): 3.993 3.993 5.166
angles (deg): 90.00 90.00 90.00
Sites, in units of the cell vectors:
1 Na 0.000 0.000 0.000
2 Al 0.500 0.500 0.500
3 O 0.000 0.500 0.000
4 O 0.500 0.000 0.000
5 P 0.000 0.000 0.500

Computed properties:
Formation energy (no corrections): 0.641 eV per atom
VASP energy: -3.44 eV per atom
DOS at the Fermi energy: 4.3 states/eV per cell
Space group: P4/mmm, No. 123
Excess energy over the best structure of this formula in the dataset: 1.4246 eV/atom
Total magnetic moment: 2.525 Bohr magnetons per cell

=====

First-principles (PBE) data for a relaxed NaAlP2O7 crystal, as listed in Alexandria via LeMat-Bulk.

a b c (Å): 7.813 7.284 9.406
angles (deg): 68.36 90.00 90.00
Sites, in units of the cell vectors:
1 Na 0.526 0.291 0.703
2 Na 0.474 0.709 0.297
3 Na 0.974 0.291 0.203
4 Na 0.026 0.709 0.797
5 O 0.417 0.002 0.353
6 O 0.105 0.357 0.899
7 O 0.293 0.809 0.618
8 O 0.917 0.998 0.147
9 O 0.638 0.186 0.115
10 O 0.809 0.685 0.382
11 O 0.583 0.998 0.647
12 O 0.862 0.186 0.615
13 O 0.362 0.814 0.885
14 O 0.914 0.523 0.659
15 O 0.207 0.809 0.118
16 O 0.605 0.643 0.601
17 O 0.138 0.814 0.385
18 O 0.707 0.191 0.382
19 O 0.646 0.877 0.061
20 O 0.691 0.685 0.882
21 O 0.354 0.123 0.939
22 O 0.854 0.877 0.561
23 O 0.586 0.523 0.159
24 O 0.083 0.002 0.853
25 O 0.793 0.191 0.882
26 O 0.414 0.477 0.841
27 O 0.146 0.123 0.439
28 O 0.086 0.477 0.341
29 O 0.191 0.315 0.618
30 O 0.395 0.357 0.399
31 O 0.309 0.315 0.118
32 O 0.895 0.643 0.101
33 P 0.244 0.929 0.950
34 P 0.756 0.071 0.050
35 P 0.207 0.330 0.453
36 P 0.256 0.929 0.450
37 P 0.744 0.071 0.550
38 P 0.707 0.670 0.047
39 P 0.293 0.330 0.953
40 P 0.793 0.670 0.547
41 Al 0.490 0.740 0.747
42 Al 0.010 0.740 0.247
43 Al 0.510 0.260 0.253
44 Al 0.990 0.260 0.753

Computed properties:
Formation energy (no corrections): -2.457 eV per atom
VASP energy: -7.06 eV per atom
DOS at the Fermi energy: 0.0 states/eV per cell
Space group: P2_1/c, No. 14
Total magnetic moment: 0.000 Bohr magnetons per cell

=====

First-principles (PBE) data for a relaxed NaAlP2O8 crystal, as listed in Alexandria via LeMat-Bulk.

a b c (Å): 5.488 5.488 5.488
angles (deg): 106.12 106.12 116.39
Sites, in units of the cell vectors:
1 O 0.404 0.099 0.305
2 O 0.500 0.676 0.824
3 O 0.324 0.148 0.824
4 O 0.852 0.676 0.176
5 O 0.901 0.206 0.305
6 O 0.324 0.500 0.176
7 O 0.794 0.099 0.695
8 O 0.901 0.596 0.695
9 Al 0.000 0.000 0.000
10 Na 0.250 0.750 0.500
11 P 0.750 0.250 0.500
12 P 0.500 0.500 0.000

Computed properties:
Formation energy (no corrections): -1.819 eV per atom
VASP energy: -6.45 eV per atom
DOS at the Fermi energy: 6.1 states/eV per cell
Space group: I-4m2, No. 119
Total magnetic moment: 2.053 Bohr magnetons per cell

=====

First-principles (PBE) data for a relaxed NaAlP2O crystal, as listed in Alexandria via LeMat-Bulk.

a b c (Å): 4.893 4.893 3.935
angles (deg): 90.00 90.00 90.00
Sites, in units of the cell vectors:
1 O 0.000 0.000 0.500
2 Na 0.000 0.000 0.000
3 Al 0.500 0.500 0.500
4 P 0.500 0.000 0.000
5 P 0.000 0.500 0.000

Computed properties:
Formation energy (no corrections): 1.025 eV per atom
VASP energy: -3.14 eV per atom
DOS at the Fermi energy: 3.3 states/eV per cell
Space group: P4/mmm, No. 123
Excess energy over the best structure of this formula in the dataset: 1.3579 eV/atom
Total magnetic moment: 1.448 Bohr magnetons per cell